Entry 1:
CoC | PBE | relaxed

Raw total energy   -7.5208 eV/atom

CIF file:
```
data_CoC
_chemical_formula_sum 'Co4 C4'
_cell_length_a 3.158
_cell_length_b 6.087
_cell_length_c 3.795
_cell_angle_alpha 90.00
_cell_angle_beta 90.00
_cell_angle_gamma 90.00
_symmetry_space_group_name_H-M 'C m c m'
_symmetry_Int_Tables_number 63
_symmetry_space_group_name_Hall '-C 2c 2'
loop_
_atom_site_label
_atom_site_type_symbol
_atom_site_fract_x
_atom_site_fract_y
_atom_site_fract_z
Co1 Co 0.000 0.202 0.250
C1 C 0.000 0.126 0.750
```



Entry 2:
CoC | PBE | relaxed

Raw total energy   -7.6391 eV/atom

CIF file:
```
data_CoC
_chemical_formula_sum 'Co4 C4'
_cell_length_a 3.798
_cell_length_b 4.704
_cell_length_c 3.838
_cell_angle_alpha 90.00
_cell_angle_beta 106.28
_cell_angle_gamma 90.00
_symmetry_space_group_name_H-M 'C 1 2 1'
_symmetry_Int_Tables_number 5
loop_
_symmetry_equiv_pos_as_xyz
'x,y,z'
'-x,y,-z'
'x+1/2,y+1/2,z'
'-x+1/2,y+1/2,-z'
loop_
_atom_site_label
_atom_site_type_symbol
_atom_site_fract_x
_atom_site_fract_y
_atom_site_fract_z
Co1 Co 0.195 0.000 0.303
C1 C 0.158 0.400 0.167
```



Entry 3:
CoC | PBE | relaxed

Raw total energy   -7.3840 eV/atom

CIF file:
```
data_CoC
_chemical_formula_sum 'Co2 C2'
_cell_length_a 2.921
_cell_length_b 2.754
_cell_length_c 3.949
_cell_angle_alpha 90.00
_cell_angle_beta 95.13
_cell_angle_gamma 90.00
_symmetry_space_group_name_H-M 'P 1 21/m 1'
_symmetry_Int_Tables_number 11
loop_
_symmetry_equiv_pos_as_xyz
'x,y,z'
'-x,-y,-z'
'-x,y+1/2,-z'
'x,-y+1/2,z'
loop_
_atom_site_label
_atom_site_type_symbol
_atom_site_fract_x
_atom_site_fract_y
_atom_site_fract_z
Co1 Co 0.214 0.250 0.284
C1 C 0.293 0.250 0.781
```



Entry 4:
Co5C | PBE | relaxed

Distance to the lowest polymorph of the same formula   1089 meV per atom
Raw total energy   -6.1922 eV/atom

CIF file:
```
data_Co5C
_chemical_formula_sum 'Co5 C1'
_cell_length_a 4.4382
_cell_length_b 4.4382
_cell_length_c 4.2571
_cell_angle_alpha 90.00
_cell_angle_beta 90.00
_cell_angle_gamma 120.00
_symmetry_space_group_name_H-M 'P 6/m m m'
_symmetry_Int_Tables_number 191
_symmetry_space_group_name_Hall '-P 6 2'
loop_
_atom_site_label
_atom_site_type_symbol
_atom_site_fract_x
_atom_site_fract_y
_atom_site_fract_z
Co1 Co 0.0000 0.5000 0.0000
Co2 Co 0.3333 0.6667 0.5000
C1 C 0.0000 0.0000 0.5000
```



Entry 5:
CoC | PBE | relaxed

Raw total energy   -7.2627 eV/atom

CIF file:
```
data_CoC
_chemical_formula_sum 'Co3 C3'
_cell_length_a 5.0085
_cell_length_b 5.0085
_cell_length_c 2.4301
_cell_angle_alpha 90.00
_cell_angle_beta 90.00
_cell_angle_gamma 120.00
_symmetry_space_group_name_H-M 'P -6 2 m'
_symmetry_Int_Tables_number 189
_symmetry_space_group_name_Hall 'P -6 -2'
loop_
_atom_site_label
_atom_site_type_symbol
_atom_site_fract_x
_atom_site_fract_y
_atom_site_fract_z
Co1 Co 0.0000 0.0000 0.0000
Co2 Co 0.3333 0.6667 0.5000
C1 C 0.0000 0.3639 0.0000
```



Entry 6:
CoC | PBE | relaxed

Raw total energy   -7.5439 eV/atom

CIF file:
```
data_CoC
_chemical_formula_sum 'Co2 C2'
_cell_length_a 2.8118
_cell_length_b 2.8118
_cell_length_c 4.7223
_cell_angle_alpha 90.00
_cell_angle_beta 90.00
_cell_angle_gamma 120.00
_symmetry_space_group_name_H-M 'P 63/m m c'
_symmetry_Int_Tables_number 194
_symmetry_space_group_name_Hall '-P 6c 2c'
loop_
_atom_site_label
_atom_site_type_symbol
_atom_site_fract_x
_atom_site_fract_y
_atom_site_fract_z
Co1 Co 0.0000 0.0000 0.0000
C1 C 0.3333 0.6667 0.2500
```



Entry 7:
CoC2 | PBE | relaxed

Distance to the lowest polymorph of the same formula   740 meV per atom
Raw total energy   -7.2873 eV/atom

CIF file:
```
data_CoC2
_chemical_formula_sum 'Co4 C8'
_cell_length_a 4.273
_cell_length_b 4.273
_cell_length_c 4.802
_cell_angle_alpha 90.00
_cell_angle_beta 90.00
_cell_angle_gamma 90.00
_symmetry_space_group_name_H-M 'I 4/m c m'
_symmetry_Int_Tables_number 140
_symmetry_space_group_name_Hall '-I 4 2c'
loop_
_atom_site_label
_atom_site_type_symbol
_atom_site_fract_x
_atom_site_fract_y
_atom_site_fract_z
Co1 Co 0.000 0.000 0.250
C1 C 0.120 0.380 0.000
```



Entry 8:
Co3C | PBE | relaxed

Raw total energy   -7.3282 eV/atom

CIF file:
```
data_Co3C
_chemical_formula_sum 'Co6 C2'
_cell_length_a 2.568
_cell_length_b 4.909
_cell_length_c 6.101
_cell_angle_alpha 90.00
_cell_angle_beta 90.00
_cell_angle_gamma 90.00
_symmetry_space_group_name_H-M 'P m m n'
_symmetry_Int_Tables_number 59
loop_
_symmetry_equiv_pos_as_xyz
'x,y,z'
'-x,-y,-z'
'-x+1/2,-y+1/2,z'
'x+1/2,y+1/2,-z'
'x+1/2,-y,-z'
'-x+1/2,y,z'
'-x,y+1/2,-z'
'x,-y+1/2,z'
loop_
_atom_site_label
_atom_site_type_symbol
_atom_site_fract_x
_atom_site_fract_y
_atom_site_fract_z
Co1 Co 0.250 0.006 0.173
Co2 Co 0.250 0.750 0.526
C1 C 0.250 0.250 0.724
```



Entry 9:
CoC5 | PBE | relaxed

Distance to the lowest polymorph of the same formula   2565 meV per atom
Raw total energy   -5.6908 eV/atom

CIF file:
```
data_CoC5
_chemical_formula_sum 'Co4 C20'
_cell_length_a 5.864
_cell_length_b 5.864
_cell_length_c 5.864
_cell_angle_alpha 90.00
_cell_angle_beta 90.00
_cell_angle_gamma 90.00
_symmetry_space_group_name_H-M 'F -4 3 m'
_symmetry_Int_Tables_number 216
_symmetry_space_group_name_Hall 'F -4 2 3'
loop_
_atom_site_label
_atom_site_type_symbol
_atom_site_fract_x
_atom_site_fract_y
_atom_site_fract_z
Co1 Co 0.000 0.000 0.000
C1 C 0.094 0.094 0.406
C2 C 0.250 0.250 0.750
```



Entry 10:
CoC | PBE | relaxed

Raw total energy   -7.1385 eV/atom

CIF file:
```
data_CoC
_chemical_formula_sum 'Co3 C3'
_cell_length_a 3.873
_cell_length_b 3.873
_cell_length_c 3.855
_cell_angle_alpha 90.00
_cell_angle_beta 90.00
_cell_angle_gamma 90.00
_symmetry_space_group_name_H-M 'P 4/m m m'
_symmetry_Int_Tables_number 123
_symmetry_space_group_name_Hall '-P 4 2'
loop_
_atom_site_label
_atom_site_type_symbol
_atom_site_fract_x
_atom_site_fract_y
_atom_site_fract_z
Co1 Co 0.000 0.000 0.000
Co2 Co 0.000 0.500 0.500
C1 C 0.000 0.000 0.500
C2 C 0.000 0.500 0.000
```



Entry 11:
Co2C | PBE | relaxed

Distance to the lowest polymorph of the same formula   74 meV per atom
Raw total energy   -7.6303 eV/atom

CIF file:
```
data_Co2C
_chemical_formula_sum 'Co8 C4'
_cell_length_a 4.732
_cell_length_b 4.732
_cell_length_c 4.732
_cell_angle_alpha 90.00
_cell_angle_beta 90.00
_cell_angle_gamma 90.00
_symmetry_space_group_name_H-M 'P a -3'
_symmetry_Int_Tables_number 205
_symmetry_space_group_name_Hall '-P 2ac 2ab 3'
loop_
_atom_site_label
_atom_site_type_symbol
_atom_site_fract_x
_atom_site_fract_y
_atom_site_fract_z
Co1 Co 0.161 0.161 0.161
C1 C 0.000 0.000 0.500
```



Entry 12:
Co2C | PBE | relaxed

Distance to the lowest polymorph of the same formula   488 meV per atom
Raw total energy   -7.2164 eV/atom

CIF file:
```
data_Co2C
_chemical_formula_sum 'Co4 C2'
_cell_length_a 2.445
_cell_length_b 2.445
_cell_length_c 8.525
_cell_angle_alpha 90.00
_cell_angle_beta 90.00
_cell_angle_gamma 90.00
_symmetry_space_group_name_H-M 'I 4/m m m'
_symmetry_Int_Tables_number 139
_symmetry_space_group_name_Hall '-I 4 2'
loop_
_atom_site_label
_atom_site_type_symbol
_atom_site_fract_x
_atom_site_fract_y
_atom_site_fract_z
Co1 Co 0.000 0.000 0.135
C1 C 0.000 0.000 0.500
```